[1]
A plane-wave DFT calculation with PBE was carried out for an optimized crystal structure of Co2Mo8C3N3.

Cell and atoms, written as POSCAR:
```
Co2Mo8C3N3
1.0
3.0332 0.0000 0.0000
-1.5166 2.6268 0.0000
0.0000 0.0000 22.8786
C Co Mo N
3 2 8 3
Cartesian
0.0000 0.0000 0.0000 C
1.5166 0.8756 2.6320 C
0.0000 1.7512 20.2466 C
0.0000 1.7512 5.7408 Co
1.5166 0.8756 17.1377 Co
0.0000 1.7512 1.3423 Mo
0.0000 0.0000 3.7124 Mo
0.0000 0.0000 7.6644 Mo
0.0000 1.7512 10.1410 Mo
1.5166 0.8756 12.7375 Mo
0.0000 0.0000 15.2142 Mo
0.0000 0.0000 19.1661 Mo
1.5166 0.8756 21.5362 Mo
1.5166 0.8756 8.8557 N
0.0000 0.0000 11.4393 N
0.0000 1.7512 14.0229 N
```

Computed properties:
total magnetization = 2.57 μB/cell
VASP energy = -9.4448 eV/atom


[2]
A plane-wave DFT calculation with PBE was carried out for an optimized crystal structure of Nb2Co3Mo4C3.

Cell and atoms, written as POSCAR:
```
Nb2Co3Mo4C3
1.0
4.4849 -2.5797 0.0000
4.4849 2.5797 0.0000
-3.0649 0.0000 12.9221
C Co Mo Nb
6 6 8 4
Cartesian
2.2425 -1.2898 0.0000 C
5.1927 -1.2198 0.0056 C
2.2446 -1.2198 6.4554 C
0.7100 1.2898 6.4610 C
3.6603 1.2198 6.4666 C
0.7122 1.2198 12.9164 C
1.4560 0.8201 3.2139 Co
3.7187 2.0528 3.2305 Co
5.9813 0.8201 3.2471 Co
-0.0764 -0.8201 9.6750 Co
2.1862 -2.0528 9.6915 Co
4.4489 -0.8201 9.7081 Co
6.6920 -0.4175 1.1413 Mo
0.7292 -0.4713 1.1432 Mo
6.7081 -0.4713 5.3179 Mo
0.7454 -0.4175 5.3197 Mo
5.1596 0.4175 7.6023 Mo
-0.8032 0.4713 7.6042 Mo
5.1757 0.4713 11.7789 Mo
-0.7871 0.4175 11.7808 Mo
3.7384 -0.4281 1.6359 Nb
3.6989 -0.4281 4.8251 Nb
2.2060 0.4281 8.0969 Nb
2.1665 0.4281 11.2861 Nb
```

Computed properties:
total magnetization = 0.53 μB/cell
VASP energy = -9.4183 eV/atom


[3]
A plane-wave DFT calculation with PBE was carried out for an optimized crystal structure of Nb4Co3Mo2C3.

Cell and atoms, written as POSCAR:
```
Nb4Co3Mo2C3
1.0
5.3370 0.0000 0.0000
2.6597 4.6336 0.0000
2.6601 1.5362 12.6769
C Co Mo Nb
6 6 4 8
Cartesian
4.0284 0.7881 0.0000 C
1.3298 2.3168 0.0000 C
3.9682 3.8455 0.0000 C
6.6946 2.2933 6.3378 C
3.9986 0.7681 6.3384 C
3.9622 3.8766 6.3391 C
2.3617 0.5628 3.1593 Co
7.3370 3.8606 3.1691 Co
5.0192 2.5120 3.1805 Co
5.6376 3.6579 9.4964 Co
3.3198 2.3092 9.5078 Co
8.2951 5.6070 9.5176 Co
5.7844 3.8418 1.0831 Mo
5.7812 3.8713 5.2566 Mo
4.8757 2.2985 7.4203 Mo
4.8724 2.3281 11.5938 Mo
3.1208 2.3299 1.3249 Nb
5.7654 0.7691 1.3250 Nb
3.0939 2.3217 5.0120 Nb
5.7864 0.7607 5.0134 Nb
4.8704 5.4091 7.6635 Nb
7.5629 3.8481 7.6649 Nb
4.8914 5.4008 11.3519 Nb
7.5360 3.8399 11.3519 Nb
```

Computed properties:
total magnetization = 2.05 μB/cell
VASP energy = -9.3468 eV/atom


[4]
A plane-wave DFT calculation with PBE was carried out for an optimized crystal structure of CoNiMo4C2.

Cell and atoms, written as POSCAR:
```
CoNiMo4C2
1.0
-2.5164 -0.4799 1.6117
0.3821 -1.3926 -2.6598
5.6170 -9.6960 5.8833
C Co Mo Ni
2 1 4 1
Cartesian
0.8090 -3.4930 0.2231 C
3.6398 -8.3796 3.1882 C
0.0000 0.0000 0.0000 Co
-0.6837 -2.2799 1.0954 Mo
1.9066 -3.2911 1.9970 Mo
3.7104 -6.4049 3.8863 Mo
3.2002 -8.9843 5.1635 Mo
1.2583 -5.6321 3.1295 Ni
```

Computed properties:
total magnetization = 0.78 μB/cell
VASP energy = -9.1837 eV/atom


[5]
A plane-wave DFT calculation with PBE was carried out for an optimized crystal structure of CoMo4PC2.

Cell and atoms, written as POSCAR:
```
CoMo4PC2
1.0
-2.5940 1.0984 1.2988
-0.1751 -1.9208 -2.4295
-0.2528 -9.4954 7.5255
C Co Mo P
2 1 4 1
Cartesian
-1.8507 -2.2737 1.9310 C
-1.9775 -7.0377 5.7066 C
-0.1264 -4.7477 3.7627 Co
-0.0375 -1.4086 1.1164 Mo
-1.0674 -4.1439 1.3728 Mo
-1.1482 -7.1803 3.7793 Mo
-0.2153 -8.0868 6.4091 Mo
-0.9814 -0.9144 -1.1867 P
```

Computed properties:
total magnetization = 0.01 μB/cell
VASP energy = -9.2720 eV/atom


[6]
A plane-wave DFT calculation with PBE was carried out for an optimized crystal structure of CoMo4C2S.

Cell and atoms, written as POSCAR:
```
CoMo4C2S
1.0
-1.6654 1.2235 2.2972
-0.3053 -2.9928 -0.7055
8.9105 -2.7810 7.9412
C Co Mo S
2 1 4 1
Cartesian
1.4720 -2.2836 2.2834 C
5.9211 -3.6721 6.2486 C
-1.2121 -0.1819 1.2963 Co
1.4007 -0.4372 1.2483 Mo
1.8590 -1.1404 4.0333 Mo
4.6273 -2.0044 6.5005 Mo
7.5098 -2.3438 6.6929 Mo
4.4552 -1.3905 3.9706 S
```

Computed properties:
total magnetization = 0.69 μB/cell
VASP energy = -9.0832 eV/atom


[7]
A plane-wave DFT calculation with PBE was carried out for an optimized crystal structure of CoSbMo4C2.

Cell and atoms, written as POSCAR:
```
CoSbMo4C2
1.0
-2.1672 -2.2545 -0.1308
2.4074 -0.0255 -2.0000
6.8715 -7.0905 8.3618
C Co Mo Sb
2 1 4 1
Cartesian
2.5074 -2.4452 0.6004 C
6.1292 -6.1823 5.0076 C
0.0000 0.0000 0.0000 Co
0.3655 -2.5514 0.4725 Mo
2.2090 -2.2794 2.6881 Mo
4.6625 -4.8111 5.6737 Mo
5.2214 -7.5621 6.3816 Mo
2.7934 -5.0567 3.4270 Sb
```

Computed properties:
total magnetization = 0.93 μB/cell
VASP energy = -8.9691 eV/atom


[8]
A plane-wave DFT calculation with PBE was carried out for an optimized crystal structure of Sc2Co3Mo4C3.

Cell and atoms, written as POSCAR:
```
Sc2Co3Mo4C3
1.0
4.5529 -2.6271 0.0000
4.5529 2.6271 0.0000
-3.1889 0.0000 12.9655
C Co Mo Sc
6 6 8 4
Cartesian
2.2765 -1.3135 0.0000 C
5.3097 -1.3090 0.0000 C
3.7962 1.3090 0.0000 C
3.7152 1.3090 6.4828 C
0.6820 1.3135 6.4828 C
2.2018 -1.3090 6.4828 C
1.5171 0.8407 3.2310 Co
3.7557 2.1817 3.2414 Co
5.9943 0.8407 3.2518 Co
-0.0773 -0.8407 9.7138 Co
2.1613 -2.1817 9.7241 Co
4.3999 -0.8407 9.7345 Co
0.7423 -0.4969 1.1248 Mo
6.7722 -0.4194 1.1254 Mo
0.7392 -0.4194 5.3574 Mo
6.7691 -0.4969 5.3579 Mo
-0.8522 0.4969 7.6076 Mo
5.1777 0.4194 7.6081 Mo
-0.8552 0.4194 11.8402 Mo
5.1747 0.4969 11.8407 Mo
3.7989 -0.4371 1.6080 Sc
3.7125 -0.4371 4.8747 Sc
2.2044 0.4371 8.0908 Sc
2.1181 0.4371 11.3575 Sc
```

Computed properties:
total magnetization = 2.15 μB/cell
VASP energy = -8.9454 eV/atom


[9]
A plane-wave DFT calculation with PBE was carried out for an optimized crystal structure of CoSiMo4C2.

Cell and atoms, written as POSCAR:
```
CoSiMo4C2
1.0
-1.7590 1.1614 -2.2349
0.5398 -3.0220 0.1161
-10.1131 -1.5315 7.1637
C Co Mo Si
2 1 4 1
Cartesian
-2.7660 -2.0121 1.1313 C
-7.7999 -2.7744 4.6972 C
-6.0492 -0.9988 2.1306 Co
-2.5551 -0.4697 -0.3445 Mo
-3.4596 -0.5239 2.4507 Mo
-6.6534 -1.0076 4.7130 Mo
-9.5434 -1.5279 4.6057 Mo
0.0000 0.0000 0.0000 Si
```

Computed properties:
total magnetization = 1.40 μB/cell
VASP energy = -9.2535 eV/atom


[10]
A plane-wave DFT calculation with PBE was carried out for an optimized crystal structure of Tm2CoSi2MoC.

Cell and atoms, written as POSCAR:
```
Tm2CoSi2MoC
1.0
-3.0954 2.6200 4.0746
-2.6036 -1.0546 5.0156
6.7936 0.6811 -0.8903
C Co Mo Si Tm
1 1 1 2 2
Cartesian
1.1083 2.2244 8.1067 C
1.6350 1.8577 6.3997 Co
-0.5277 0.3690 1.7166 Mo
-2.7564 1.5790 7.6059 Si
3.8040 0.7135 0.7984 Si
-1.2170 1.0877 4.8831 Tm
2.3323 1.1544 3.2892 Tm
```

Computed properties:
total magnetization = 0.00 μB/cell
VASP energy = -7.3183 eV/atom


[11]
A plane-wave DFT calculation with PBE was carried out for an optimized crystal structure of Y2CoSi2MoC.

Cell and atoms, written as POSCAR:
```
Y2CoSi2MoC
1.0
5.4749 -1.9460 0.0000
5.4749 1.9460 0.0000
-4.3133 0.0000 5.5013
C Co Mo Si Y
1 1 1 2 2
Cartesian
6.5522 0.0000 5.4595 C
4.7740 0.0000 4.9923 Co
1.7791 0.0000 0.4857 Mo
8.1101 0.0000 1.7315 Si
-1.2787 0.0000 3.8405 Si
4.9132 0.0000 1.6382 Y
1.6960 0.0000 3.8574 Y
```

Computed properties:
total magnetization = 0.00 μB/cell
VASP energy = -7.8869 eV/atom


[12]
A plane-wave DFT calculation with PBE was carried out for an optimized crystal structure of Ta2Co3Mo4C3.

Cell and atoms, written as POSCAR:
```
Ta2Co3Mo4C3
1.0
-4.3727 -0.5522 -2.7949
0.1370 -2.3187 -4.6735
-0.6943 -10.3124 8.0302
C Co Mo Ta
6 6 8 4
Cartesian
0.0685 -1.1594 -2.3367 C
-1.3923 -2.0801 -4.7525 C
-1.0770 -6.7748 0.4188 C
-2.5335 -5.4323 2.6176 C
-3.8529 -6.4085 0.1430 C
-3.5376 -11.1032 5.3143 C
-1.9282 -3.1442 0.1657 Co
-4.3332 -3.2138 -0.8761 Co
-3.8085 -4.4309 -3.1383 Co
-1.1214 -8.7524 3.7001 Co
-0.5967 -9.9695 1.4379 Co
-3.0017 -10.0391 0.3961 Co
-0.1327 -1.3817 -0.2962 Mo
-2.9796 -3.2793 -5.2454 Mo
-0.8647 -5.0371 1.4845 Mo
-3.6484 -6.9594 -3.4910 Mo
-1.2815 -6.2239 4.0529 Mo
-4.0653 -8.1462 -0.9227 Mo
-1.9503 -9.9040 5.8072 Mo
-4.7972 -11.8016 0.8580 Mo
-1.6497 -2.7044 -2.5840 Ta
-2.2005 -5.6097 -1.1745 Ta
-2.7294 -7.5736 1.7363 Ta
-3.2802 -10.4789 3.1458 Ta
```

Computed properties:
total magnetization = 0.10 μB/cell
VASP energy = -9.7236 eV/atom


[13]
A plane-wave DFT calculation with PBE was carried out for an optimized crystal structure of Co3Mo4W2C3.

Cell and atoms, written as POSCAR:
```
Co3Mo4W2C3
1.0
5.0501 0.0000 0.0000
2.5251 4.3905 0.0000
2.5251 1.3852 13.0013
C Co Mo W
6 6 8 4
Cartesian
3.7876 2.1953 0.0000 C
6.1777 3.7308 0.0000 C
1.3975 0.6595 0.0013 C
3.9226 2.2284 6.4993 C
1.2625 0.6926 6.5006 C
6.1777 3.5473 6.5019 C
6.0222 1.1711 3.2490 Co
6.8000 3.6392 3.2503 Co
3.4971 1.7168 3.2517 Co
6.6032 4.0590 9.7496 Co
3.3003 2.1365 9.7510 Co
4.0781 4.6047 9.7523 Co
4.6272 0.7273 1.1871 Mo
2.0963 2.2048 1.1946 Mo
4.6214 0.6831 5.3060 Mo
2.1022 2.1606 5.3135 Mo
7.9981 3.6152 7.6877 Mo
5.4789 5.0927 7.6952 Mo
8.0040 3.5710 11.8067 Mo
5.4731 5.0484 11.8142 Mo
4.6187 3.6642 1.6435 W
4.6187 3.6142 4.8571 W
5.4816 2.1615 8.1442 W
5.4816 2.1116 11.3577 W
```

Computed properties:
total magnetization = 0.84 μB/cell
VASP energy = -9.6900 eV/atom


[14]
A plane-wave DFT calculation with PBE was carried out for an optimized crystal structure of Y2Co3Mo4C3.

Cell and atoms, written as POSCAR:
```
Y2Co3Mo4C3
1.0
-4.6239 0.6920 2.6490
-0.9117 -2.6932 4.5599
7.3395 10.5152 4.3692
C Co Mo Y
6 6 8 4
Cartesian
-2.3120 0.3460 1.3245 C
-4.2074 -0.2968 3.7323 C
-1.3283 -1.7044 3.4766 C
1.3851 3.2075 6.9067 C
3.2139 3.9110 4.4646 C
0.4188 5.3065 4.6715 C
1.0511 1.5651 3.2094 Co
0.6002 0.2302 5.4859 Co
-1.6997 0.5813 6.8108 Co
3.5036 7.9327 4.7674 Co
1.2037 8.2838 6.0922 Co
0.7528 6.9490 8.3688 Co
-0.3534 0.9933 0.9900 Mo
-3.9477 -0.3903 5.7916 Mo
1.4994 4.1778 3.3021 Mo
-2.2276 2.9152 8.0355 Mo
4.0315 5.5988 3.5427 Mo
0.3045 4.3362 8.2760 Mo
5.7515 8.9044 5.7865 Mo
2.1573 7.5207 10.5882 Mo
-1.9276 0.7044 3.7339 Y
-0.5564 3.1156 5.3414 Y
2.3603 5.3984 6.2367 Y
3.7315 7.8096 7.8442 Y
```

Computed properties:
total magnetization = 3.50 μB/cell
VASP energy = -8.9204 eV/atom


[15]
A plane-wave DFT calculation with PBE was carried out for an optimized crystal structure of ZnCoMo4C2.

Cell and atoms, written as POSCAR:
```
ZnCoMo4C2
1.0
-2.1893 1.1708 -1.7545
0.0012 -2.9696 0.6506
-7.2064 2.3038 10.5298
C Co Mo Zn
2 1 4 1
Cartesian
-1.7376 0.5555 2.5389 C
-5.4688 1.7483 7.9909 C
-0.7289 -1.5895 -0.1511 Co
-2.5325 0.1338 0.6156 Mo
-3.1027 -0.8306 3.3174 Mo
-5.5616 -0.0445 6.9102 Mo
-7.5921 1.7513 8.0086 Mo
-5.0623 0.9426 4.3121 Zn
```

Computed properties:
total magnetization = 0.57 μB/cell
VASP energy = -8.7102 eV/atom


[16]
A plane-wave DFT calculation with PBE was carried out for an optimized crystal structure of Zr4Co3Mo2C3.

Cell and atoms, written as POSCAR:
```
Zr4Co3Mo2C3
1.0
-3.8628 -1.4746 3.6659
-4.6295 -2.4962 -1.6943
8.5279 -10.1916 0.7227
C Co Mo Zr
6 6 4 8
Cartesian
-1.9314 -0.7373 1.8329 C
-3.7388 -1.9170 -0.4918 C
-0.8664 -7.6517 0.1903 C
1.9492 -6.3439 -0.4858 C
0.9020 -6.5107 2.5040 C
3.7745 -12.2454 3.1861 C
-3.2274 -5.0803 1.1600 Co
-1.8425 -4.1714 3.0654 Co
-1.0740 -4.0837 0.6620 Co
1.1097 -10.0787 2.0323 Co
1.8782 -9.9910 -0.3711 Co
3.2631 -9.0821 1.5343 Co
-2.9800 -2.4800 1.4012 Mo
-1.1123 -6.4055 1.8823 Mo
1.1480 -7.7569 0.8120 Mo
3.0156 -11.6824 1.2930 Mo
-5.6946 -4.1560 2.0980 Zr
-0.0152 -1.5115 0.7303 Zr
-4.0940 -7.3964 2.4354 Zr
1.5993 -4.7334 1.1647 Zr
-1.5637 -9.4290 1.5296 Zr
4.1296 -6.7660 0.2589 Zr
0.0509 -12.6509 1.9640 Zr
5.7303 -10.0064 0.5963 Zr
```

Computed properties:
total magnetization = 5.57 μB/cell
VASP energy = -8.9990 eV/atom


[17]
A plane-wave DFT calculation with PBE was carried out for an optimized crystal structure of CoC2N2.

Cell and atoms, written as POSCAR:
```
CoC2N2
1.0
5.7167 0.0000 0.0000
0.0000 5.7167 0.0000
0.0000 0.0000 5.7167
C Co N
4 2 4
Cartesian
1.0934 1.0934 1.0934 C
4.6233 4.6233 1.0934 C
4.6233 1.0934 4.6233 C
1.0934 4.6233 4.6233 C
0.0000 0.0000 0.0000 Co
2.8584 2.8584 2.8584 Co
1.7713 1.7713 1.7713 N
3.9454 3.9454 1.7713 N
3.9454 1.7713 3.9454 N
1.7713 3.9454 3.9454 N
```

Computed properties:
total magnetization = 6.00 μB/cell
VASP energy = -7.9500 eV/atom